This record from Alexandria via LeMat-Bulk describes a relaxed V3NiRu crystal. The functional is GGA-PBE.

* polymorph energy (0 for the lowest one): 253 meV/atom
* M_tot: 0.88 Bohr magnetons per cell
* energy relative to the elements: 1225 meV per atom

Lattice parameters (Å, degrees): 4.4803 4.4803 4.4803 90.00 90.00 90.00
Space group Pm-3m (No. 221)
Asymmetric unit:
V: 0.0000 0.0000 0.5000 [3 per cell]
Ni: 0.5000 0.5000 0.5000 [1 per cell]
Ru: 0.0000 0.0000 0.0000 [1 per cell]

=====

This record from Alexandria via LeMat-Bulk describes a relaxed CaLaTl2 crystal. The functional is GGA-PBE.

* M_tot: 0.00 Bohr magnetons per cell
* energy relative to the elements: -285 meV per atom

Lattice parameters (Å, degrees): 10.1328 3.9567 6.7654 90.00 103.23 90.00
Space group C2/m (No. 12)
Asymmetric unit:
Ca: 0.0000 0.0000 0.0000 [2 per cell]
La: 0.0000 0.5000 0.5000 [2 per cell]
Tl: 0.2475 0.5000 0.2375 [4 per cell]

=====

This record from Alexandria via LeMat-Bulk describes a relaxed Ca3NdTh2P6 crystal. The functional is GGA-PBE.

* M_tot: 0.00 Bohr magnetons per cell
* energy relative to the elements: -1314 meV per atom

Lattice parameters (Å, degrees): 7.2669 12.5886 7.1384 90.00 109.85 90.00
Space group C2/m (No. 12)
Asymmetric unit:
Ca: 0.0000 0.0000 0.0000 [2 per cell]
Ca: 0.0000 0.3347 0.0000 [4 per cell]
Nd: 0.0000 0.5000 0.5000 [2 per cell]
Th: 0.0000 0.1667 0.5000 [4 per cell]
P: 0.2426 0.0000 0.7412 [4 per cell]
P: 0.2491 0.3312 0.7410 [8 per cell]